The following is a DFT calculation (PBE-GGA) of a geometry-optimized Er2B6Rh structure.

Properties
- ΔE_f (eV/atom) = -0.6622
- electronic total energy (Ha/atom) = -0.255

Lattice parameters (Å, degrees): 9.1375 11.4634 3.6350 90.00 90.00 90.00
Space group Pbam (No. 55)
Inequivalent atoms, fractional coordinates:
Er  0.0555  0.1259  0.0000 [4 per cell]
Er  0.1773  0.4131  0.0000 [4 per cell]
B  0.0180  0.2874  0.5000 [4 per cell]
B  0.0525  0.5662  0.5000 [4 per cell]
B  0.1116  0.9696  0.5000 [4 per cell]
B  0.1333  0.8158  0.5000 [4 per cell]
B  0.2059  0.2352  0.5000 [4 per cell]
B  0.2494  0.5795  0.5000 [4 per cell]
Rh  0.1393  0.6786  0.0000 [4 per cell]